[1]
# NdMg2TlCl8

A relaxed structure of NdMg2TlCl8 (PBE-GGA, Alexandria via LeMat-Bulk).

Values from the calculation:
Raw total energy (eV/cell): -46.7
Space group: P-1

Cell: 6.5495 6.5520 9.0459 Å, 79.10 79.72 79.42°
With the nearest neighbours (Å) after each atom.
Sites, in units of the cell vectors:
Nd: 0.0000 0.0000 0.0000  6 Cl 2.72-2.78
Mg: 0.4590 0.4543 0.7084  5 Cl 2.41-2.54
Mg: 0.5410 0.5457 0.2916  5 Cl 2.41-2.54
Tl: 0.0000 0.0000 0.5000  6 Cl 3.15-3.39
Cl: 0.1950 0.7375 0.2307  1 Mg 2.48
Cl: 0.2376 0.7831 0.7767  1 Mg 2.48, 1 Nd 2.77
Cl: 0.2917 0.2629 0.9475  1 Mg 2.47, 1 Nd 2.72
Cl: 0.3470 0.3195 0.5115  2 Mg 2.41-2.54
Cl: 0.6530 0.6805 0.4885  2 Mg 2.41-2.54
Cl: 0.7083 0.7371 0.0525  1 Mg 2.47, 1 Nd 2.72
Cl: 0.7624 0.2169 0.2233  1 Mg 2.48, 1 Nd 2.77
Cl: 0.8050 0.2625 0.7693  1 Mg 2.48

=====

[2]
# NdMgTlCl6

A relaxed structure of NdMgTlCl6 (PBE-GGA, Alexandria via LeMat-Bulk).

Values from the calculation:
Raw total energy (eV/cell): -73.2
Space group: P-31c

Cell: 6.9501 6.9501 13.9333 Å, 90.00 90.00 120.00°
With the nearest neighbours (Å) after each atom.
Sites, in units of the cell vectors:
Nd: 0.3333 0.6667 0.2500  6 Cl 2.76
Nd: 0.6667 0.3333 0.7500  6 Cl 2.76
Mg: 0.3333 0.6667 0.7500  6 Cl 2.54
Mg: 0.6667 0.3333 0.2500  6 Cl 2.54
Tl: 0.0000 0.0000 0.0000  6 Cl 3.28
Tl: 0.0000 0.0000 0.5000  6 Cl 3.28
Cl: 0.0233 0.3851 0.6433  1 Mg 2.54, 1 Nd 2.76
Cl: 0.0233 0.6382 0.8567  1 Mg 2.54, 1 Nd 2.76
Cl: 0.3618 0.3851 0.8567  1 Mg 2.54, 1 Nd 2.76
Cl: 0.3618 0.9767 0.6433  1 Mg 2.54, 1 Nd 2.76
Cl: 0.3851 0.0233 0.1433  1 Mg 2.54, 1 Nd 2.76
Cl: 0.3851 0.3618 0.3567  1 Mg 2.54, 1 Nd 2.76
Cl: 0.6149 0.6382 0.6433  1 Mg 2.54, 1 Nd 2.76
Cl: 0.6149 0.9767 0.8567  1 Mg 2.54, 1 Nd 2.76
Cl: 0.6382 0.0233 0.3567  1 Mg 2.54, 1 Nd 2.76
Cl: 0.6382 0.6149 0.1433  1 Mg 2.54, 1 Nd 2.76
Cl: 0.9767 0.3618 0.1433  1 Mg 2.54, 1 Nd 2.76
Cl: 0.9767 0.6149 0.3567  1 Mg 2.54, 1 Nd 2.76

=====

[3]
# Mg2NiCl

A relaxed structure of Mg2NiCl (PBE-GGA, Alexandria via LeMat-Bulk).

Values from the calculation:
Offset from the most stable computed form (eV per formula unit): 1.03
Space group: Cmmm

Cell: 4.7970 4.7970 3.0214 Å, 90.00 90.00 97.09°
With the nearest neighbours (Å) after each atom.
Sites, in units of the cell vectors:
Mg: 0.0000 0.5000 0.0000  4 Cl 2.83, 4 Ni 2.83, 2 Mg 3.02
Mg: 0.5000 0.0000 0.0000  4 Cl 2.83, 4 Ni 2.83, 2 Mg 3.02
Ni: 0.0000 0.0000 0.5000  8 Mg 2.83, 2 Ni 3.02
Cl: 0.5000 0.5000 0.5000  8 Mg 2.83, 2 Cl 3.02